(1)
Material: CePa2Mn
Method: DFT, PBE
State: optimized geometry

Output
For the energy above the most stable polymorph in this dataset, the calculation gives 93 meV/atom. For the formation energy, the calculation gives 18.2 kJ per mole of atoms.

```
CePa2Mn
1.0
-3.528 -0.863 -2.240
-0.709 -3.960 -1.423
-4.045 -2.791 3.382
Ce Mn Pa
1 1 2
Cartesian
-4.141 -3.806 -0.140 Ce
0.000 0.000 0.000 Mn
-6.309 -5.753 -0.041 Pa
-1.973 -1.860 -0.240 Pa
```


(2)
Material: CePaMnRe
Method: DFT, PBE
State: optimized geometry

Output
For the formation energy, the calculation gives 20.9 kJ per mole of atoms.

```
CePaMnRe
1.0
-2.984 -0.167 3.796
1.144 -2.676 3.856
1.243 2.146 4.146
Re Mn Pa Ce
1 1 1 1
Cartesian
0.000 0.000 0.000 Re
-0.299 -0.348 5.899 Mn
-0.448 -0.523 8.849 Pa
-0.149 -0.174 2.950 Ce
```


(3)
Material: Ce2PaMnS6
Method: DFT, PBE
State: optimized geometry

Output
For the uncorrected formation energy, the calculation gives -1.5157 eV/atom.

```
Ce2PaMnS6
1.0
6.939 0.000 0.000
3.469 6.009 0.000
3.469 2.003 6.016
Ce S Mn Pa
2 6 1 1
Cartesian
3.469 2.003 5.563 Ce
6.939 4.006 2.587 Ce
7.737 2.138 4.627 S
5.571 6.273 1.547 S
4.922 4.249 4.627 S
5.659 1.688 1.547 S
9.586 4.057 1.547 S
8.158 5.631 4.627 S
3.469 2.003 0.265 Mn
10.408 6.009 3.236 Pa
```


(4)
Material: CePaMn2S8
Method: DFT, PBE
State: optimized geometry

Output
For the uncorrected formation energy, the calculation gives -0.9469 eV/atom.

```
CePaMn2S8
1.0
-2.581 5.789 -0.316
-2.701 -1.506 -5.541
-2.567 -4.292 6.052
S Mn Ce Pa
8 2 1 1
Cartesian
-4.622 2.294 -3.988 S
-2.336 1.296 -0.864 S
-4.649 0.012 3.405 S
-1.988 -2.069 -0.109 S
-4.090 -3.622 1.836 S
-4.493 -3.997 -1.586 S
-4.342 -0.937 -3.255 S
-4.994 -0.312 0.115 S
-3.954 -1.829 -1.209 Mn
-2.641 2.141 -2.929 Mn
0.000 0.000 0.000 Ce
-3.894 1.819 1.404 Pa
```


(5)
Material: CePaMnS6
Method: DFT, PBE
State: optimized geometry

Output
For the uncorrected formation energy, the calculation gives -1.1793 eV/atom.

```
CePaMnS6
1.0
-0.267 5.962 -0.154
-1.970 -0.246 -6.109
-4.304 -0.070 4.767
Mn Pa S Ce
1 1 6 1
Cartesian
-0.134 2.981 -0.077 Mn
-3.526 -0.129 1.142 Pa
-4.564 4.204 -0.964 S
-5.029 4.279 2.754 S
-1.579 4.396 1.294 S
-5.661 1.303 0.468 S
-3.113 1.488 3.210 S
-2.011 1.445 -0.371 S
-2.881 2.794 -2.560 Ce
```


(6)
Material: CePaMnS4
Method: DFT, PBE
State: optimized geometry

Output
For the uncorrected formation energy, the calculation gives -1.4294 eV/atom.

```
CePaMnS4
1.0
-3.025 3.053 -4.820
-4.550 1.272 3.662
4.330 5.240 3.560
Mn S Pa Ce
2 8 2 2
Cartesian
-2.771 3.340 2.714 Mn
-0.474 6.225 -0.313 Mn
-1.920 4.331 -3.779 S
-1.147 4.107 -0.413 S
-4.091 4.938 -2.032 S
-1.326 5.234 6.180 S
0.845 4.627 4.434 S
-2.099 5.458 2.814 S
-4.225 2.909 1.058 S
0.979 6.656 1.343 S
0.548 3.962 1.744 Pa
-3.794 5.603 0.658 Pa
-1.621 1.413 -0.066 Ce
-1.625 8.153 2.467 Ce
```


(7)
Material: CePa2MnS8
Method: DFT, PBE
State: optimized geometry

Output
For the uncorrected formation energy, the calculation gives -1.3487 eV/atom.

```
CePa2MnS8
1.0
-3.786 -1.595 -4.723
3.789 -4.387 -1.951
-3.721 -5.342 4.787
S Pa Ce Mn
8 2 1 1
Cartesian
0.161 -4.204 -4.566 S
-3.879 -7.121 2.678 S
1.487 -4.935 -1.253 S
-2.051 -4.470 0.238 S
-0.544 -7.850 1.359 S
-1.668 -6.854 -2.125 S
-3.175 -3.474 -3.246 S
-5.205 -6.389 -0.635 S
-2.815 -7.035 0.286 Pa
-0.903 -4.289 -2.174 Pa
-1.861 -2.671 2.393 Ce
0.000 0.000 0.000 Mn
```


(8)
Material: CePaMnSe6
Method: DFT, PBE
State: optimized geometry

Output
For the uncorrected formation energy, the calculation gives -1.0035 eV/atom.

```
CePaMnSe6
1.0
6.311 0.000 0.000
0.000 6.738 0.000
0.000 -3.369 5.835
Ce Se Pa Mn
1 6 1 1
Cartesian
3.156 3.369 1.945 Ce
4.698 -1.284 5.763 Se
1.614 -2.264 4.066 Se
4.698 -0.980 1.842 Se
1.614 0.980 1.842 Se
4.698 2.264 4.066 Se
1.614 1.284 5.763 Se
0.000 0.000 3.890 Pa
3.156 0.000 0.000 Mn
```


(9)
Material: CePaMn2Se8
Method: DFT, PBE
State: optimized geometry

Output
For the uncorrected formation energy, the calculation gives -0.8286 eV/atom.

```
CePaMn2Se8
1.0
7.063 0.000 0.000
0.000 7.063 0.000
-3.532 -3.532 6.023
Se Ce Mn Pa
8 1 2 1
Cartesian
-1.857 -2.184 4.055 Se
1.857 2.184 4.055 Se
2.109 1.706 1.017 Se
4.954 5.357 1.017 Se
1.347 5.389 1.968 Se
-1.825 1.422 5.007 Se
1.825 -1.422 5.007 Se
5.716 1.674 1.968 Se
3.532 0.000 3.012 Ce
0.000 3.532 3.012 Mn
3.532 3.532 0.000 Mn
0.000 0.000 0.000 Pa
```


(10)
Material: Ce2MnPb
Method: DFT, PBE
State: optimized geometry

Output
For the formation energy, the calculation gives -5.7 kJ per mole of atoms.

```
Ce2MnPb
1.0
-1.021 -2.075 2.317
-0.466 -2.309 -2.273
8.250 -2.788 1.141
Pb Mn Ce
1 1 2
Cartesian
3.382 -3.586 0.592 Pb
-0.744 -2.192 0.022 Mn
1.596 -0.539 0.221 Ce
6.655 -2.248 0.920 Ce
```


(11)
Material: Ce6MnPb2
Method: DFT, PBE
State: optimized geometry

Output
For the formation energy, the calculation gives -24.7 kJ per mole of atoms.

```
Ce6MnPb2
1.0
6.900 0.000 -0.185
0.000 6.911 0.000
0.262 0.000 10.043
Pb Mn Ce
4 2 12
Cartesian
3.649 0.001 7.446 Pb
0.067 3.455 2.517 Pb
7.095 3.457 7.340 Pb
3.514 6.910 2.412 Pb
3.450 3.456 -0.093 Mn
0.131 0.000 5.022 Mn
5.132 1.890 4.887 Ce
6.968 6.910 2.463 Ce
2.030 1.889 4.972 Ce
3.649 3.457 7.577 Ce
2.030 5.022 4.970 Ce
1.813 5.345 10.000 Ce
3.514 3.455 2.280 Ce
0.195 0.001 7.395 Ce
1.551 1.566 -0.042 Ce
5.132 5.022 4.885 Ce
5.612 5.345 9.899 Ce
5.349 1.566 -0.142 Ce
```


(12)
Material: Ce3MnPb
Method: DFT, PBE
State: optimized geometry

Output
For the formation energy, the calculation gives -23.2 kJ per mole of atoms.

```
Ce3MnPb
1.0
-0.304 -4.940 1.147
5.066 -0.347 -0.153
0.227 1.134 4.947
Mn Ce Pb
1 3 1
Cartesian
0.000 0.000 0.000 Mn
0.113 0.567 2.474 Ce
-0.152 -2.470 0.573 Ce
2.533 -0.173 -0.076 Ce
2.495 -2.076 2.971 Pb
```


(13)
Material: Ce4MnPb
Method: DFT, PBE
State: optimized geometry

Output
For the formation energy, the calculation gives -9.6 kJ per mole of atoms.

```
Ce4MnPb
1.0
5.577 0.003 -1.238
-2.148 7.001 -2.319
0.076 0.074 7.680
Ce Pb Mn
8 2 2
Cartesian
3.687 4.385 3.855 Ce
3.083 1.211 1.790 Ce
0.797 5.033 -1.898 Ce
2.708 2.044 6.021 Ce
-1.595 6.760 -0.169 Ce
-0.181 2.693 0.268 Ce
5.101 0.317 4.292 Ce
0.422 5.867 2.333 Ce
2.891 4.336 0.601 Pb
0.614 2.741 3.522 Pb
2.056 6.936 -3.151 Mn
1.449 0.141 7.274 Mn
```


(14)
Material: CeMnPb2S5
Method: DFT, PBE
State: optimized geometry

Output
For the uncorrected formation energy, the calculation gives -0.9302 eV/atom.

```
CeMnPb2S5
1.0
4.075 0.000 0.000
-2.037 8.590 0.000
0.000 0.000 12.893
Pb Mn S Ce
4 2 10 2
Cartesian
2.037 6.435 10.642 Pb
2.037 7.052 2.041 Pb
0.000 1.538 8.487 Pb
0.000 2.155 4.195 Pb
2.037 0.999 12.024 Mn
0.000 7.591 5.577 Mn
2.037 3.317 11.514 S
0.000 5.273 5.067 S
0.000 6.287 0.018 S
2.037 0.079 3.515 S
0.000 8.511 9.962 S
2.037 2.303 6.464 S
0.000 4.875 8.713 S
2.037 7.761 6.839 S
2.037 3.715 2.266 S
0.000 0.829 0.392 S
0.000 3.589 0.445 Ce
2.037 5.001 6.892 Ce
```


(15)
Material: CeMnPd2
Method: DFT, PBE
State: optimized geometry

Output
For the formation energy, the calculation gives -41.3 kJ per mole of atoms.

```
CeMnPd2
1.0
4.463 0.000 0.000
2.232 3.865 0.000
2.232 1.288 4.623
Pd Mn Ce
2 1 1
Cartesian
6.695 3.865 2.990 Pd
2.232 1.288 1.633 Pd
4.463 2.577 2.312 Mn
0.000 0.000 0.000 Ce
```


(16)
Material: CeMnPd2
Method: DFT, PBE
State: optimized geometry

Output
For the formation energy, the calculation gives -37.7 kJ per mole of atoms.

```
CeMnPd2
1.0
4.039 0.000 0.000
0.000 4.218 0.000
0.000 0.000 4.218
Ce Pd Mn
1 2 1
Cartesian
2.020 2.109 2.109 Ce
0.000 0.000 2.109 Pd
0.000 2.109 0.000 Pd
2.020 0.000 0.000 Mn
```


(17)
Material: Ce2MnPd
Method: DFT, PBE
State: optimized geometry

Output
For the energy above the most stable polymorph in this dataset, the calculation gives 0 meV/atom. For the formation energy, the calculation gives -15.7 kJ per mole of atoms.

```
Ce2MnPd
1.0
-0.182 2.680 -2.015
-0.191 -2.023 -2.674
-7.247 -0.066 0.568
Mn Pd Ce
1 1 2
Cartesian
-0.187 0.329 -2.344 Mn
-3.810 0.296 -2.060 Pd
-1.656 -0.015 0.130 Ce
-5.591 -0.051 0.438 Ce
```


(18)
Material: Ce2MnPd
Method: DFT, PBE
State: optimized geometry

Output
For the energy above the most stable polymorph in this dataset, the calculation gives 384 meV/atom. For the formation energy, the calculation gives 21.4 kJ per mole of atoms.

```
Ce2MnPd
1.0
-2.373 -1.456 -1.262
-0.719 -2.828 0.911
-6.880 2.239 6.650
Pd Ce Mn
1 2 1
Cartesian
0.000 0.000 0.000 Pd
-5.246 1.215 4.760 Ce
-4.726 -3.261 1.539 Ce
-4.986 -1.023 3.149 Mn
```


(19)
Material: CeMnPd2
Method: DFT, PBE
State: optimized geometry

Output
For the formation energy, the calculation gives -36.6 kJ per mole of atoms.

```
CeMnPd2
1.0
3.274 0.000 0.000
0.000 3.274 0.000
0.000 0.000 6.935
Pd Ce Mn
2 1 1
Cartesian
0.000 0.000 1.457 Pd
0.000 0.000 5.479 Pd
1.637 1.637 3.468 Ce
1.637 1.637 0.000 Mn
```


(20)
Material: CePuMnPd
Method: DFT, PBE
State: optimized geometry

Output
For the formation energy, the calculation gives -11.2 kJ per mole of atoms.

```
CePuMnPd
1.0
4.781 0.000 0.000
2.391 4.141 0.000
2.391 1.380 3.904
Ce Mn Pd Pu
1 1 1 1
Cartesian
4.781 2.761 1.952 Ce
7.172 4.141 2.928 Mn
0.000 0.000 0.000 Pd
2.391 1.380 0.976 Pu
```